DFT (PBE-GGA) results for DyZrU2As5 after structural relaxation.

Summary:
E_tot in Ha/atom: -0.252
Calculated formation energy in eV per atom: -0.30

Cell: 4.7998 4.7998 10.5196 Å, 90.00 90.00 90.00°
With the nearest neighbours (Å) after each atom.
Fractional positions:
As  0.5000  0.0000  0.5000  2 Zr 2.40
U  0.5000  0.5000  0.6951  9 As 3.16-3.44
Zr  0.0000  0.0000  0.5000  6 As 2.40-2.62
Dy  0.0000  0.0000  0.0000  2 As 2.64
As  0.0000  0.5000  0.5000  2 Zr 2.40
As  0.0000  0.0000  0.2511  1 Zr 2.62, 1 Dy 2.64
U  0.5000  0.5000  0.3049  9 As 3.16-3.44
As  0.5000  0.5000  0.0000  2 U 3.21, 4 Dy 3.39
As  0.0000  0.0000  0.7489  1 Zr 2.62, 1 Dy 2.64

***

DFT (PBE-GGA) results for DyZrU2As4 after structural relaxation.

Summary:
E_tot in Ha/atom: -0.287
Calculated formation energy in eV per atom: -1.02

Cell: 4.0038 6.9950 6.9997 Å, 109.04 90.00 90.00°
With the nearest neighbours (Å) after each atom.
Fractional positions:
Dy  0.5000  0.5000  0.0000  6 As 2.85
Zr  0.0000  0.0000  0.0000  6 As 2.80-2.81
As  0.5000  0.2416  0.2424  2 Zr 2.81, 3 U 2.85-2.90, 1 Dy 2.85
U  0.0000  0.5000  0.5000  6 As 2.90
As  0.0000  0.7547  0.2464  1 Zr 2.80, 3 U 2.85-2.90, 2 Dy 2.85
U  0.5000  0.0000  0.5000  6 As 2.85
As  0.5000  0.7584  0.7576  2 Zr 2.81, 3 U 2.85-2.90, 1 Dy 2.85
As  0.0000  0.2453  0.7536  1 Zr 2.80, 3 U 2.85-2.90, 2 Dy 2.85

***

DFT (PBE-GGA) results for DyVAs after structural relaxation.

Summary:
E_tot in Ha/atom: -0.244
Calculated formation energy in eV per atom: -0.53

Cell: 3.8641 3.8641 11.0976 Å, 110.36 110.36 60.01°
With the nearest neighbours (Å) after each atom.
Fractional positions:
Dy  0.2630  0.2630  0.1441  3 As 2.87
As  0.9519  0.9519  0.6780  4 V 2.48-2.54
As  0.0481  0.0481  0.3220  4 V 2.48-2.54
V  0.2147  0.2147  0.5721  4 As 2.48-2.54, 3 V 2.67
Dy  0.7370  0.7370  0.8559  3 As 2.87
V  0.7853  0.7853  0.4279  4 As 2.48-2.54, 3 V 2.67

***

DFT (PBE-GGA) results for DyYAs after structural relaxation.

Summary:
E_tot in Ha/atom: -0.225
Calculated formation energy in eV per atom: -0.88

Cell: 6.4222 3.9880 3.9880 Å, 120.00 90.00 90.00°
With the nearest neighbours (Å) after each atom.
Fractional positions:
Y  0.7411  0.6667  0.3333  3 As 2.84
As  0.0005  0.0000  0.0000  3 Dy 2.84, 3 Y 2.84
Dy  0.2584  0.3333  0.6667  3 As 2.84

***

DFT (PBE-GGA) results for DyY5As6 after structural relaxation.

Summary:
E_tot in Ha/atom: -0.256
Calculated formation energy in eV per atom: -1.55

Cell: 7.1405 7.1443 7.1418 Å, 59.99 80.40 70.52°
With the nearest neighbours (Å) after each atom.
Fractional positions:
As  0.2498  0.2496  0.0000  1 Dy 2.91, 5 Y 2.92
Y  0.0000  0.3334  0.3332  6 As 2.92
As  0.2498  0.5837  0.3330  1 Dy 2.91, 5 Y 2.92
As  0.2498  0.9167  0.6670  1 Dy 2.91, 5 Y 2.92
Y  0.5000  0.8332  0.3335  6 As 2.92
Dy  0.0000  0.0000  0.0000  6 As 2.91
Y  0.5000  0.1668  0.6665  6 As 2.92
As  0.7502  0.7504  0.0000  1 Dy 2.91, 5 Y 2.92
Y  0.5000  0.5000  0.0000  6 As 2.92
As  0.7502  0.0833  0.3330  1 Dy 2.91, 5 Y 2.92
Y  0.0000  0.6666  0.6668  6 As 2.92
As  0.7502  0.4163  0.6670  1 Dy 2.91, 5 Y 2.92

***

DFT (PBE-GGA) results for Dy3Y5As8 after structural relaxation.

Summary:
E_tot in Ha/atom: -0.248
Calculated formation energy in eV per atom: -1.55

Cell: 8.2425 8.2425 8.2429 Å, 60.00 60.00 60.00°
With the nearest neighbours (Å) after each atom.
Fractional positions:
Dy  0.5000  0.0000  0.5000  6 As 2.91
As  0.2498  0.2498  0.2506  3 Dy 2.91, 3 Y 2.92
As  0.2500  0.7504  0.7496  2 Dy 2.91, 4 Y 2.91-2.92
As  0.2496  0.7500  0.2504  2 Dy 2.91, 4 Y 2.91-2.92
As  0.7504  0.2500  0.7496  2 Dy 2.91, 4 Y 2.91-2.92
Y  0.0000  0.0000  0.0000  6 As 2.91
Dy  0.0000  0.0000  0.5000  6 As 2.91
As  0.2500  0.2500  0.7496  2 Dy 2.91, 4 Y 2.91-2.92
As  0.7500  0.2496  0.2504  2 Dy 2.91, 4 Y 2.91-2.92
As  0.7502  0.7502  0.7494  3 Dy 2.91, 3 Y 2.92
Dy  0.0000  0.5000  0.5000  6 As 2.91
As  0.7500  0.7500  0.2504  2 Dy 2.91, 4 Y 2.91-2.92
Y  0.5000  0.0000  0.0000  6 As 2.92
Y  0.5000  0.5000  0.0000  6 As 2.92
Y  0.5000  0.5000  0.5000  6 As 2.91
Y  0.0000  0.5000  0.0000  6 As 2.92

***

DFT (PBE-GGA) results for Dy5YAs6 after structural relaxation.

Summary:
E_tot in Ha/atom: -0.232
Calculated formation energy in eV per atom: -1.54

Cell: 7.1350 7.1383 7.1360 Å, 59.99 80.40 70.52°
With the nearest neighbours (Å) after each atom.
Fractional positions:
Y  0.0000  0.0000  0.0000  6 As 2.92
Dy  0.0000  0.3333  0.3334  6 As 2.91
Dy  0.0000  0.6667  0.6666  6 As 2.91
As  0.2502  0.9166  0.6663  5 Dy 2.91, 1 Y 2.92
As  0.2502  0.2504  0.0000  5 Dy 2.91, 1 Y 2.92
Dy  0.5000  0.5000  0.0000  6 As 2.91
As  0.7498  0.0834  0.3337  5 Dy 2.91, 1 Y 2.92
As  0.7498  0.7496  0.0000  5 Dy 2.91, 1 Y 2.92
As  0.2502  0.5829  0.3337  5 Dy 2.91, 1 Y 2.92
As  0.7498  0.4171  0.6663  5 Dy 2.91, 1 Y 2.92
Dy  0.5000  0.1666  0.6668  6 As 2.91
Dy  0.5000  0.8334  0.3332  6 As 2.91

***

DFT (PBE-GGA) results for Dy2YAs3 after structural relaxation.

Summary:
E_tot in Ha/atom: -0.238
Calculated formation energy in eV per atom: -1.54

Cell: 4.1236 5.8256 7.1359 Å, 114.09 106.79 90.00°
With the nearest neighbours (Å) after each atom.
Fractional positions:
Dy  0.3334  0.8334  0.6668  6 As 2.91
As  0.3330  0.3330  0.6660  4 Dy 2.91, 2 Y 2.92
As  0.6670  0.6670  0.3340  4 Dy 2.91, 2 Y 2.92
Dy  0.6666  0.1666  0.3332  6 As 2.91
As  0.0000  0.0000  0.0000  2 Y 2.91, 4 Dy 2.91
Y  0.0000  0.5000  0.0000  6 As 2.91-2.92

***

DFT (PBE-GGA) results for DyY2As after structural relaxation.

Summary:
E_tot in Ha/atom: -0.226
Calculated formation energy in eV per atom: -0.60

Cell: 3.8582 3.8582 9.6916 Å, 78.52 78.52 60.00°
With the nearest neighbours (Å) after each atom.
Fractional positions:
Y  0.7279  0.7279  0.8163  3 As 2.82
Dy  0.5000  0.5000  0.5000  6 Y 3.72, 6 Dy 3.86
Y  0.2721  0.2721  0.1837  3 As 2.82
As  0.0000  0.0000  0.0000  6 Y 2.82

***

DFT (PBE-GGA) results for Dy2YAs after structural relaxation.

Summary:
E_tot in Ha/atom: -0.209
Calculated formation energy in eV per atom: -0.60

Cell: 3.8539 3.8539 9.7132 Å, 78.56 78.56 60.00°
With the nearest neighbours (Å) after each atom.
Fractional positions:
Dy  0.7279  0.7279  0.8164  3 As 2.82
Y  0.5000  0.5000  0.5000  6 Dy 3.73, 6 Y 3.85
As  0.0000  0.0000  0.0000  6 Dy 2.82
Dy  0.2721  0.2721  0.1836  3 As 2.82

***

DFT (PBE-GGA) results for DyYAs after structural relaxation.

Summary:
E_tot in Ha/atom: -0.224
Calculated formation energy in eV per atom: -0.85

Cell: 8.0681 8.0681 8.0681 Å, 99.53 99.53 99.53°
With the nearest neighbours (Å) after each atom.
Fractional positions:
Y  0.6888  0.0220  0.9299  3 As 2.86-3.13
As  0.8778  0.6935  0.3648  4 Dy 2.82-3.11, 3 Y 2.86-3.13
As  0.6352  0.1222  0.3065  4 Dy 2.82-3.11, 3 Y 2.86-3.13
Dy  0.8118  0.4455  0.5855  4 As 2.82-3.11
As  0.3648  0.8778  0.6935  4 Dy 2.82-3.11, 3 Y 2.86-3.13
Y  0.3112  0.9780  0.0701  3 As 2.86-3.13
As  0.6935  0.3648  0.8778  4 Dy 2.82-3.11, 3 Y 2.86-3.13
Dy  0.4455  0.5855  0.8118  4 As 2.82-3.11
Dy  0.1882  0.5545  0.4145  4 As 2.82-3.11
Dy  0.5855  0.8118  0.4455  4 As 2.82-3.11
As  0.3065  0.6352  0.1222  4 Dy 2.82-3.11, 3 Y 2.86-3.13
Dy  0.4145  0.1882  0.5545  4 As 2.82-3.11
Y  0.9299  0.6888  0.0220  3 As 2.86-3.13
Y  0.0220  0.9299  0.6888  3 As 2.86-3.13
As  0.1222  0.3065  0.6352  4 Dy 2.82-3.11, 3 Y 2.86-3.13
Y  0.9780  0.0701  0.3112  3 As 2.86-3.13
Y  0.0701  0.3112  0.9780  3 As 2.86-3.13
Dy  0.5545  0.4145  0.1882  4 As 2.82-3.11

***

DFT (PBE-GGA) results for Dy5Y3As8 after structural relaxation.

Summary:
E_tot in Ha/atom: -0.240
Calculated formation energy in eV per atom: -1.54

Cell: 8.2392 8.2392 8.2394 Å, 60.00 60.00 60.00°
With the nearest neighbours (Å) after each atom.
Fractional positions:
Y  0.5000  0.0000  0.5000  6 As 2.92
As  0.7498  0.7498  0.7507  3 Dy 2.91, 3 Y 2.92
Dy  0.0000  0.0000  0.0000  6 As 2.91
As  0.7496  0.2500  0.7504  4 Dy 2.91, 2 Y 2.92
As  0.7500  0.7500  0.2496  4 Dy 2.91, 2 Y 2.92
As  0.2502  0.2502  0.2493  3 Dy 2.91, 3 Y 2.92
Dy  0.5000  0.5000  0.0000  6 As 2.91
As  0.2500  0.2500  0.7504  4 Dy 2.91, 2 Y 2.92
Y  0.0000  0.0000  0.5000  6 As 2.92
As  0.2504  0.7500  0.2496  4 Dy 2.91, 2 Y 2.92
As  0.7500  0.2504  0.2496  4 Dy 2.91, 2 Y 2.92
Dy  0.0000  0.5000  0.0000  6 As 2.91
Dy  0.5000  0.5000  0.5000  6 As 2.91
Y  0.0000  0.5000  0.5000  6 As 2.92
As  0.2500  0.7496  0.7504  4 Dy 2.91, 2 Y 2.92
Dy  0.5000  0.0000  0.0000  6 As 2.91